PuAsBrO6: optimized geometry, PBE.

E_form (uncorrected)	-1196	kJ/mol of formula units
space group	Imma
density of states at the Fermi level	4.8	states/eV/f.u.
E_tot	-6.98	eV/atom

Cell lengths 6.863, 8.476, 7.386 Å; angles 125.02, 117.69, 90.00 degrees
Last column: magnetic moment on the atom in μB.
Positions (direct):
O (0.820, 0.029, 0.243)  -0.11
Pu (0.500, 0.500, 0.000)  2.60
O (0.394, 0.644, 0.789)  -0.07
O (0.577, 0.971, 0.757)  -0.11
O (0.423, 0.029, 0.243)  -0.11
Pu (0.500, 0.000, 0.000)  2.60
Br (0.790, 0.540, 0.580)  -0.04
As (0.000, 0.000, 0.500)  0.02
O (0.817, 0.067, 0.634)  -0.04
Br (0.210, 0.460, 0.420)  -0.04
O (0.423, 0.714, 0.243)  -0.11
O (0.606, 0.356, 0.211)  -0.07
O (0.180, 0.286, 0.757)  -0.11
O (0.820, 0.714, 0.243)  -0.11
O (0.577, 0.286, 0.757)  -0.11
O (0.183, 0.933, 0.366)  -0.04
As (0.500, 0.000, 0.500)  0.02
O (0.180, 0.971, 0.757)  -0.11

Si2AsOs: optimized geometry, PBE.

E_form (uncorrected)	210	kJ/mol of formula units
space group	Pmmm
density of states at the Fermi level	2.8	states/eV/f.u.
E_tot	-6.14	eV/atom

Cell lengths 3.014, 4.873, 4.142 Å; angles 90.00, 90.00, 90.00 degrees
Positions (direct):
As (0.500, 0.000, 0.500)
Os (0.000, 0.500, 0.500)
Si (0.000, 0.000, 0.000)
Si (0.500, 0.500, 0.000)

Ge2Pb2O: optimized geometry, PBE.

energy above the lowest structure with this stoichiometry	115	meV/atom
E_form (uncorrected)	-5	kJ/mol of formula units
space group	P4/mbm
density of states at the Fermi level	2.2	states/eV/f.u.
E_tot	-4.33	eV/atom

Cell lengths 6.234, 6.234, 5.734 Å; angles 90.00, 90.00, 90.00 degrees
Positions (direct):
Pb (0.190, 0.690, 0.500)
Pb (0.810, 0.310, 0.500)
Pb (0.690, 0.810, 0.500)
Ge (0.801, 0.699, 0.000)
Ge (0.699, 0.199, 0.000)
Ge (0.301, 0.801, 0.000)
Ge (0.199, 0.301, 0.000)
O (0.500, 0.500, 0.000)
Pb (0.310, 0.190, 0.500)
O (0.000, 0.000, 0.000)

LaSmDyCd: optimized geometry, PBE.

energy above the lowest structure with this stoichiometry	0	meV/atom
formation energy	-0.14	eV/atom
space group	P4mm
density of states at the Fermi level	6.4	states/eV/f.u.
E_tot	-3.93	eV/atom

Cell lengths 3.698, 3.698, 9.032 Å; angles 90.00, 90.00, 90.00 degrees
Positions (direct):
La (0.000, 0.000, 0.076)
Dy (0.500, 0.500, 0.354)
Cd (0.000, 0.000, 0.565)
Sm (0.500, 0.500, 0.790)